Record 1
VASP calculation (PBE) on a geometry-optimized K2CaIn3Sn4 structure.

Summary:
Its space group is P-4m2. The value obtained for the formation energy is -0.22 eV/atom.

Cell lengths 5.150, 5.150, 12.478 Å; angles 90.00, 90.00, 90.00 degrees
Fractional positions:
K1 0.500 0.000 0.240
K2 0.000 0.500 0.760
Ca1 0.500 0.500 0.500
In1 0.000 0.000 0.500
In2 0.500 0.000 0.871
In3 0.000 0.500 0.129
Sn1 0.500 0.500 0.000
Sn2 0.000 0.000 0.000
Sn3 0.500 0.000 0.640
Sn4 0.000 0.500 0.360

Record 2
VASP calculation (PBE) on a geometry-optimized TiSeSN2 structure.

Summary:
Its space group is P4/mmm. The value obtained for the distance to the lowest polymorph of the same formula is 0.0 kJ/mol of atoms. Its energy relative to the elements, uncorrected is 0.534 eV per atom.

Cell lengths 3.836, 3.836, 5.345 Å; angles 90.00, 90.00, 90.00 degrees
Fractional positions:
S1 0.000 0.000 0.500
N1 0.000 0.500 0.000
N2 0.500 0.000 0.000
Se1 0.500 0.500 0.500
Ti1 0.000 0.000 0.000

Record 3
VASP calculation (PBE) on a geometry-optimized Mg2CrAu structure.

Summary:
Its space group is I-42d. The value obtained for the formation energy is 0.22 eV/atom.

Cell lengths 7.595, 7.595, 6.082 Å; angles 51.37, 51.37, 90.00 degrees
Fractional positions:
Cr1 0.500 0.500 0.000
Cr2 0.250 0.750 0.500
Mg1 0.651 0.125 0.250
Mg2 0.099 0.625 0.250
Mg3 0.375 0.349 0.750
Mg4 0.875 0.901 0.750
Au1 0.000 0.000 0.000
Au2 0.750 0.250 0.500

Record 4
VASP calculation (PBE) on a geometry-optimized Er8NiGe3Te4 structure.

Summary:
Its space group is R-3m. Its energy relative to the elements, uncorrected is -1.034 eV per atom.

Cell lengths 8.329, 8.539, 8.330 Å; angles 119.19, 120.00, 90.00 degrees
Fractional positions:
Er1 0.237 0.716 0.979
Er2 0.237 0.716 0.474
Er3 0.260 0.280 0.520
Er4 0.742 0.716 0.979
Er5 0.258 0.284 0.021
Er6 0.740 0.720 0.480
Er7 0.763 0.284 0.526
Er8 0.763 0.284 0.021
Ni1 0.000 0.500 0.000
Ge1 0.500 0.500 0.000
Ge2 0.500 0.500 0.500
Ge3 0.000 0.500 0.500
Te1 0.500 0.000 0.000
Te2 0.500 0.000 0.500
Te3 0.000 0.000 0.000
Te4 0.000 0.000 0.500

Record 5
VASP calculation (PBE) on a geometry-optimized ScVTcAu2 structure.

Summary:
Its space group is P4/mmm. The value obtained for the formation energy is 0.63 eV/atom.

Cell lengths 5.102, 4.309, 5.102 Å; angles 90.00, 90.00, 90.00 degrees
Fractional positions:
Sc1 0.500 0.500 0.500
Au1 0.000 0.000 0.500
Au2 0.500 0.000 0.000
Tc1 0.000 0.000 0.000
V1 0.000 0.500 0.000

Record 6
VASP calculation (PBE) on a geometry-optimized Na2FeGeCl6 structure.

Summary:
Its space group is R3. Its energy relative to the elements, uncorrected is -1.131 eV per atom.

Cell lengths 6.802, 6.801, 7.189 Å; angles 61.76, 61.75, 59.99 degrees
Fractional positions:
Na1 0.527 0.527 0.419
Na2 0.020 0.020 0.939
Fe1 0.319 0.318 0.045
Ge1 0.816 0.816 0.553
Cl1 0.574 0.208 0.249
Cl2 0.208 0.968 0.249
Cl3 0.968 0.575 0.249
Cl4 0.450 0.683 0.771
Cl5 0.683 0.097 0.771
Cl6 0.097 0.450 0.770

Repeat the third record exactly.
VASP calculation (PBE) on a geometry-optimized Mg2CrAu structure.

Summary:
Its space group is I-42d. The value obtained for the formation energy is 0.22 eV/atom.

Cell lengths 7.595, 7.595, 6.082 Å; angles 51.37, 51.37, 90.00 degrees
Fractional positions:
Cr1 0.500 0.500 0.000
Cr2 0.250 0.750 0.500
Mg1 0.651 0.125 0.250
Mg2 0.099 0.625 0.250
Mg3 0.375 0.349 0.750
Mg4 0.875 0.901 0.750
Au1 0.000 0.000 0.000
Au2 0.750 0.250 0.500